Material: Ba6Hg2PtN
Method: DFT, PBE
State: optimized geometry

a b c (Å): 8.002 8.423 13.970
angles (deg): 90.00 124.10 90.00
Fractional coordinates of all 20 atoms:
Ba 0.142 0.017 0.235
Ba 0.142 0.483 0.735
Ba 0.223 0.712 0.044
Ba 0.223 0.788 0.544
Ba 0.335 0.183 0.046
Ba 0.335 0.317 0.546
Ba 0.665 0.683 0.454
Ba 0.665 0.817 0.954
Ba 0.777 0.212 0.456
Ba 0.777 0.288 0.956
Ba 0.858 0.517 0.265
Ba 0.858 0.983 0.765
Hg 0.280 0.078 0.750
Hg 0.280 0.422 0.250
Hg 0.720 0.578 0.750
Hg 0.720 0.922 0.250
Pt 0.500 0.000 0.500
Pt 0.500 0.500 0.000
N 0.000 0.000 0.000
N 0.000 0.500 0.500

Values from the calculation:
Formation energy without anion corrections, meV/atom: -473.6
Calculated total energy, eV/atom: -3.12

Material: Sc2ZnAgC
Method: DFT, PBE
State: optimized geometry

a b c (Å): 4.473 4.473 4.353
angles (deg): 90.00 90.00 90.00
Fractional coordinates of all 5 atoms:
Sc 0.000 0.500 0.000
Sc 0.500 0.000 0.000
Zn 0.000 0.000 0.500
Ag 0.500 0.500 0.500
C 0.500 0.500 0.000

Values from the calculation:
Energy relative to the lowest polymorph listed for this composition, eV per atom: 0.104
DFT formation energy, eV/atom: -0.1271
Calculated total energy, eV/atom: -5.33

Material: MgGePS2
Method: DFT, PBE
State: optimized geometry

a b c (Å): 4.762 4.762 4.677
angles (deg): 90.00 90.00 90.00
Fractional coordinates of all 5 atoms:
Mg 0.000 0.000 0.000
Ge 0.500 0.500 0.500
P 0.500 0.500 0.000
S 0.000 0.500 0.500
S 0.500 0.000 0.500

Values from the calculation:
Energy relative to the lowest polymorph listed for this composition, eV per atom: 0.000
Formation energy without anion corrections, meV/atom: 308.4
Calculated total energy, eV/atom: -3.67

Material: MgBe2Si2
Method: DFT, PBE
State: optimized geometry

a b c (Å): 3.952 3.952 5.984
angles (deg): 99.59 99.59 55.57
Fractional coordinates of all 5 atoms:
Mg 0.000 0.000 0.000
Be 0.693 0.693 0.290
Be 0.913 0.913 0.577
Si 0.379 0.379 0.309
Si 0.612 0.612 0.671

Values from the calculation:
Formation energy without anion corrections, meV/atom: 118.4
Calculated total energy, eV/atom: -3.86

> Which formula does entry 3 have?

MgGePS2